*P*
First-principles (PBE-GGA) data for an optimized crystal structure of BaNaLa2Pd, as listed in Alexandria.

Properties
Symmetry   No. 123
Magnetization   0.00 μB/f.u.
Density of states at the Fermi level   1.200 states/eV/atom

The structure in CIF format:
```
data_BaNaLa2Pd
_cell_length_a 5.7062
_cell_length_b 5.7062
_cell_length_c 6.0943
_cell_angle_alpha 90.00
_cell_angle_beta 90.00
_cell_angle_gamma 90.00
_symmetry_space_group_name_H-M 'P 1'
_symmetry_Int_Tables_number 1
loop_
_symmetry_equiv_pos_as_xyz
'x,y,z'
loop_
_atom_site_label
_atom_site_fract_x
_atom_site_fract_y
_atom_site_fract_z
Na1 0.0000 0.0000 0.5000
Ba1 0.5000 0.5000 0.5000
Pd1 0.0000 0.0000 0.0000
La1 0.0000 0.5000 0.0000
La2 0.5000 0.0000 0.0000
```



*Q*
First-principles (PBE-GGA) data for an optimized crystal structure of BaNaLa2Pd, as listed in Alexandria.

Properties
Symmetry   No. 123
Magnetization   0.00 μB/f.u.
Density of states at the Fermi level   1.148 states/eV/atom

The structure in CIF format:
```
data_BaNaLa2Pd
_cell_length_a 5.7308
_cell_length_b 5.7308
_cell_length_c 6.5422
_cell_angle_alpha 90.00
_cell_angle_beta 90.00
_cell_angle_gamma 90.00
_symmetry_space_group_name_H-M 'P 1'
_symmetry_Int_Tables_number 1
loop_
_symmetry_equiv_pos_as_xyz
'x,y,z'
loop_
_atom_site_label
_atom_site_fract_x
_atom_site_fract_y
_atom_site_fract_z
Na1 0.5000 0.5000 0.5000
Ba1 0.0000 0.0000 0.5000
Pd1 0.0000 0.0000 0.0000
La1 0.0000 0.5000 0.0000
La2 0.5000 0.0000 0.0000
```



Q: What are the energies relative to the best structure? A: *P* 0.022; *Q* 0.000, in eV/atom.



*P*
First-principles (PBE-GGA) data for an optimized crystal structure of Ba2NaLaPd, as listed in Alexandria.

Properties
Symmetry   No. 123
Magnetization   0.00 μB/f.u.
Density of states at the Fermi level   0.937 states/eV/atom

The structure in CIF format:
```
data_Ba2NaLaPd
_cell_length_a 6.4816
_cell_length_b 6.4816
_cell_length_c 5.6224
_cell_angle_alpha 90.00
_cell_angle_beta 90.00
_cell_angle_gamma 90.00
_symmetry_space_group_name_H-M 'P 1'
_symmetry_Int_Tables_number 1
loop_
_symmetry_equiv_pos_as_xyz
'x,y,z'
loop_
_atom_site_label
_atom_site_fract_x
_atom_site_fract_y
_atom_site_fract_z
Na1 0.5000 0.5000 0.5000
Ba1 0.0000 0.5000 0.0000
Ba2 0.5000 0.0000 0.0000
Pd1 0.0000 0.0000 0.0000
La1 0.0000 0.0000 0.5000
```



*Q*
First-principles (PBE-GGA) data for an optimized crystal structure of Ba2NaLaPd, as listed in Alexandria.

Properties
Symmetry   No. 123
Magnetization   0.00 μB/f.u.
Density of states at the Fermi level   1.507 states/eV/atom

The structure in CIF format:
```
data_Ba2NaLaPd
_cell_length_a 6.1408
_cell_length_b 5.6166
_cell_length_c 6.1408
_cell_angle_alpha 90.00
_cell_angle_beta 90.00
_cell_angle_gamma 90.00
_symmetry_space_group_name_H-M 'P 1'
_symmetry_Int_Tables_number 1
loop_
_symmetry_equiv_pos_as_xyz
'x,y,z'
loop_
_atom_site_label
_atom_site_fract_x
_atom_site_fract_y
_atom_site_fract_z
Na1 0.0000 0.5000 0.0000
Ba1 0.0000 0.0000 0.5000
Ba2 0.5000 0.0000 0.0000
Pd1 0.0000 0.0000 0.0000
La1 0.5000 0.5000 0.5000
```



Q: What are the energies relative to the best structure? A: *P* 0.000; *Q* 0.296, in eV/atom.



*P*
First-principles (PBE-GGA) data for an optimized crystal structure of BaNaLa2Pt, as listed in Alexandria.

Properties
Symmetry   No. 123
Magnetization   0.00 μB/f.u.
Density of states at the Fermi level   0.997 states/eV/atom

The structure in CIF format:
```
data_BaNaLa2Pt
_cell_length_a 5.7016
_cell_length_b 5.7016
_cell_length_c 6.0609
_cell_angle_alpha 90.00
_cell_angle_beta 90.00
_cell_angle_gamma 90.00
_symmetry_space_group_name_H-M 'P 1'
_symmetry_Int_Tables_number 1
loop_
_symmetry_equiv_pos_as_xyz
'x,y,z'
loop_
_atom_site_label
_atom_site_fract_x
_atom_site_fract_y
_atom_site_fract_z
Na1 0.0000 0.0000 0.5000
Ba1 0.5000 0.5000 0.5000
Pt1 0.0000 0.0000 0.0000
La1 0.0000 0.5000 0.0000
La2 0.5000 0.0000 0.0000
```



*Q*
First-principles (PBE-GGA) data for an optimized crystal structure of BaNaLa2Pt, as listed in Alexandria.

Properties
Symmetry   No. 123
Magnetization   0.00 μB/f.u.
Density of states at the Fermi level   1.124 states/eV/atom

The structure in CIF format:
```
data_BaNaLa2Pt
_cell_length_a 5.7211
_cell_length_b 5.7211
_cell_length_c 6.5338
_cell_angle_alpha 90.00
_cell_angle_beta 90.00
_cell_angle_gamma 90.00
_symmetry_space_group_name_H-M 'P 1'
_symmetry_Int_Tables_number 1
loop_
_symmetry_equiv_pos_as_xyz
'x,y,z'
loop_
_atom_site_label
_atom_site_fract_x
_atom_site_fract_y
_atom_site_fract_z
Na1 0.5000 0.5000 0.5000
Ba1 0.0000 0.0000 0.5000
Pt1 0.0000 0.0000 0.0000
La1 0.0000 0.5000 0.0000
La2 0.5000 0.0000 0.0000
```



Q: What are the energies relative to the best structure? A: *P* 0.046; *Q* 0.000, in eV/atom.



*P*
First-principles (PBE-GGA) data for an optimized crystal structure of BaNaLa2Rh, as listed in Alexandria.

Properties
Symmetry   No. 123
Magnetization   0.00 μB/f.u.
Density of states at the Fermi level   0.933 states/eV/atom

The structure in CIF format:
```
data_BaNaLa2Rh
_cell_length_a 5.5833
_cell_length_b 5.5833
_cell_length_c 6.4927
_cell_angle_alpha 90.00
_cell_angle_beta 90.00
_cell_angle_gamma 90.00
_symmetry_space_group_name_H-M 'P 1'
_symmetry_Int_Tables_number 1
loop_
_symmetry_equiv_pos_as_xyz
'x,y,z'
loop_
_atom_site_label
_atom_site_fract_x
_atom_site_fract_y
_atom_site_fract_z
Na1 0.5000 0.5000 0.5000
Rh1 0.0000 0.0000 0.0000
Ba1 0.0000 0.0000 0.5000
La1 0.0000 0.5000 0.0000
La2 0.5000 0.0000 0.0000
```



*Q*
First-principles (PBE-GGA) data for an optimized crystal structure of BaNaLa2Rh, as listed in Alexandria.

Properties
Symmetry   No. 123
Magnetization   0.00 μB/f.u.
Density of states at the Fermi level   0.990 states/eV/atom

The structure in CIF format:
```
data_BaNaLa2Rh
_cell_length_a 5.5048
_cell_length_b 5.5048
_cell_length_c 6.2817
_cell_angle_alpha 90.00
_cell_angle_beta 90.00
_cell_angle_gamma 90.00
_symmetry_space_group_name_H-M 'P 1'
_symmetry_Int_Tables_number 1
loop_
_symmetry_equiv_pos_as_xyz
'x,y,z'
loop_
_atom_site_label
_atom_site_fract_x
_atom_site_fract_y
_atom_site_fract_z
Na1 0.0000 0.0000 0.5000
Rh1 0.0000 0.0000 0.0000
Ba1 0.5000 0.5000 0.5000
La1 0.0000 0.5000 0.0000
La2 0.5000 0.0000 0.0000
```



Q: What are the energies relative to the best structure? A: *P* 0.000; *Q* 0.044, in eV/atom.